(1)
11
Lattice="-4.2846 -0.7888 -0.4179 -0.2333 -0.9881 4.2572 -1.0567 5.1390 1.1349" Properties=species:S:1:pos:R:3 comment="CeTi2H8 | the Alexandria database | PBE | relaxed" mass_density_g_cm3=3.94 polymorph_energy_mev_per_atom=77 total_magnetization_mub_per_cell=1.8 pbc="T T T"
Ce -2.7873 1.6811 2.4871
Ti -2.1423 -0.3944 -0.2089
Ti -0.1166 -0.4941 2.1286
H -3.6579 -0.2901 3.1575
H -4.1557 3.2400 1.5984
H -4.2776 2.7237 3.8230
H -3.5360 0.2263 0.9328
H -1.4189 0.1221 3.3758
H -2.0387 3.1358 4.0414
H -1.2970 0.6385 1.1512
H -1.9167 3.6522 1.8168

(2)
12
Lattice="-1.8378 4.9090 -0.1572 -6.2714 -2.2500 3.0536 4.6328 -0.9253 4.4145" Properties=species:S:1:pos:R:3 comment="TiNb2Ge3 | the Alexandria database | PBE | relaxed" mass_density_g_cm3=6.95 total_magnetization_mub_per_cell=0.0 e_form_mev_per_atom=-248 pbc="T T T"
Ti -6.5391 3.2155 2.1332
Ti -1.5701 -0.5565 0.7632
Nb -3.3265 1.6643 3.1792
Nb -0.1864 2.7774 1.6527
Nb -3.2900 -1.0437 5.6582
Nb -0.1499 0.0694 4.1317
Ge -2.4885 1.8967 0.6846
Ge -5.6206 0.7623 2.2117
Ge 0.6939 0.3069 1.6447
Ge -1.0309 2.5421 4.1397
Ge -2.4454 -0.8083 3.1712
Ge -4.1703 1.4269 5.6662

(3)
6
Lattice="4.1559 -0.1229 -2.1846 -2.6412 3.8785 -0.2002 -0.2027 0.0968 4.6543" Properties=species:S:1:pos:R:3 comment="CrFe3Tc2 | the Alexandria database | PBE | relaxed" mass_density_g_cm3=9.53 total_magnetization_mub_per_cell=2.7 e_form_mev_per_atom=12 pbc="T T T"
Cr 0.0000 0.0000 0.0000
Fe 0.6560 1.9262 1.1347
Fe -0.1014 0.0484 2.3271
Fe 1.9766 -0.0131 1.2349
Tc 2.0970 1.3720 -1.1380
Tc -0.7851 2.4804 3.4075